{"formula": "LiHf3As", "functional": "GGA-PBE", "state": "optimized geometry", "lattice_angstrom": [[-4.733, -1.547, 0.382], [1.049, -2.124, 4.396], [-1.200, 4.246, 2.338]], "species": ["As", "Li", "Hf", "Hf", "Hf"], "frac_coords": [[0.000, 0.000, 0.000], [0.500, 0.500, 0.500], [0.000, 0.500, 0.000], [0.500, 0.000, 0.000], [0.000, 0.000, 0.500]], "formation_enthalpy_0k_ev_per_atom": 0.31, "dos_at_fermi_per_ev_cell": 5.2, "polymorph_energy_mev_per_atom": 0}